(1)
# KNaNiMo | OQMD via LeMat-Bulk | PBE-GGA | optimized geometry
data_KNaNiMo
_chemical_formula_sum 'K1 Na1 Ni1 Mo1'
_cell_length_a 5.234
_cell_length_b 5.234
_cell_length_c 5.234
_cell_angle_alpha 60.00
_cell_angle_beta 60.00
_cell_angle_gamma 60.00
_space_group_name_H-M_alt 'P 1'
_space_group_IT_number 1
loop_
_space_group_symop_operation_xyz
'x,y,z'
loop_
_atom_site_label
_atom_site_type_symbol
_atom_site_fract_x
_atom_site_fract_y
_atom_site_fract_z
K1 K 0.250 0.250 0.250
Mo1 Mo 0.000 0.000 0.000
Na1 Na 0.750 0.750 0.750
Ni1 Ni 0.500 0.500 0.500
# - Space group: F-43m (216)
# - E: -3.13 eV/atom
# - Offset from the most stable computed form: 0.256 eV per atom
# - Crystal system: cubic
# - Magnetization: 4.6 μB/f.u.


(2)
# Nd3Zr3NiTe2 | OQMD via LeMat-Bulk | PBE-GGA | optimized geometry
data_Nd3Zr3NiTe2
_chemical_formula_sum 'Nd3 Zr3 Ni1 Te2'
_cell_length_a 8.129
_cell_length_b 8.129
_cell_length_c 4.021
_cell_angle_alpha 90.00
_cell_angle_beta 90.00
_cell_angle_gamma 120.00
_space_group_name_H-M_alt 'P 1'
_space_group_IT_number 1
loop_
_space_group_symop_operation_xyz
'x,y,z'
loop_
_atom_site_label
_atom_site_type_symbol
_atom_site_fract_x
_atom_site_fract_y
_atom_site_fract_z
Nd1 Nd 0.401 0.000 0.000
Nd2 Nd 0.000 0.401 0.000
Nd3 Nd 0.599 0.599 0.000
Ni1 Ni 0.000 0.000 0.000
Te1 Te 0.667 0.333 0.500
Te2 Te 0.333 0.667 0.500
Zr1 Zr 0.777 0.000 0.500
Zr2 Zr 0.223 0.223 0.500
Zr3 Zr 0.000 0.777 0.500
# - Space group: P-62m (189)
# - E: -6.39 eV/atom
# - Offset from the most stable computed form: 0.000 eV per atom
# - Crystal system: hexagonal
# - Magnetization: 0.7 μB/f.u.


(3)
# LiRePt | OQMD via LeMat-Bulk | PBE-GGA | optimized geometry
data_LiRePt
_chemical_formula_sum 'Li1 Re1 Pt1'
_cell_length_a 4.117
_cell_length_b 4.117
_cell_length_c 4.117
_cell_angle_alpha 60.00
_cell_angle_beta 60.00
_cell_angle_gamma 60.00
_space_group_name_H-M_alt 'P 1'
_space_group_IT_number 1
loop_
_space_group_symop_operation_xyz
'x,y,z'
loop_
_atom_site_label
_atom_site_type_symbol
_atom_site_fract_x
_atom_site_fract_y
_atom_site_fract_z
Li1 Li 0.250 0.250 0.250
Pt1 Pt 0.750 0.750 0.750
Re1 Re 0.000 0.000 0.000
# - Space group: F-43m (216)
# - E: -6.25 eV/atom
# - Offset from the most stable computed form: 0.000 eV per atom
# - Crystal system: cubic
# - Magnetization: 0.0 μB/f.u.


(4)
# K5Sb2Os | OQMD via LeMat-Bulk | PBE-GGA | optimized geometry
data_K5Sb2Os
_chemical_formula_sum 'K5 Sb2 Os1'
_cell_length_a 10.020
_cell_length_b 10.020
_cell_length_c 10.020
_cell_angle_alpha 34.88
_cell_angle_beta 34.88
_cell_angle_gamma 34.88
_space_group_name_H-M_alt 'P 1'
_space_group_IT_number 1
loop_
_space_group_symop_operation_xyz
'x,y,z'
loop_
_atom_site_label
_atom_site_type_symbol
_atom_site_fract_x
_atom_site_fract_y
_atom_site_fract_z
K1 K 0.224 0.224 0.224
K2 K 0.360 0.360 0.360
K3 K 0.500 0.500 0.500
K4 K 0.640 0.640 0.640
K5 K 0.776 0.776 0.776
Os1 Os 0.000 0.000 0.000
Sb1 Sb 0.091 0.091 0.091
Sb2 Sb 0.909 0.909 0.909
# - Space group: R-3m (166)
# - E: -3.07 eV/atom
# - Crystal system: trigonal
# - Magnetization: 1.0 μB/f.u.


(5)
# TcAgB4 | OQMD via LeMat-Bulk | PBE-GGA | optimized geometry
data_TcAgB4
_chemical_formula_sum 'Tc1 Ag1 B4'
_cell_length_a 4.663
_cell_length_b 4.663
_cell_length_c 4.663
_cell_angle_alpha 142.09
_cell_angle_beta 111.05
_cell_angle_gamma 81.48
_space_group_name_H-M_alt 'P 1'
_space_group_IT_number 1
loop_
_space_group_symop_operation_xyz
'x,y,z'
loop_
_atom_site_label
_atom_site_type_symbol
_atom_site_fract_x
_atom_site_fract_y
_atom_site_fract_z
Ag1 Ag 0.500 0.500 0.000
B1 B 0.594 0.258 0.336
B2 B 0.077 0.742 0.336
B3 B 0.923 0.258 0.664
B4 B 0.406 0.742 0.664
Tc1 Tc 0.000 0.000 0.000
# - Space group: Immm (71)
# - E: -6.29 eV/atom
# - Offset from the most stable computed form: 0.153 eV per atom
# - Crystal system: orthorhombic
# - Magnetization: 0.0 μB/f.u.


(6)
# NdTlZnS3 | OQMD via LeMat-Bulk | PBE-GGA | optimized geometry
data_NdTlZnS3
_chemical_formula_sum 'Nd4 Tl4 Zn4 S12'
_cell_length_a 11.320
_cell_length_b 4.191
_cell_length_c 12.143
_cell_angle_alpha 90.00
_cell_angle_beta 90.00
_cell_angle_gamma 90.00
_space_group_name_H-M_alt 'P 1'
_space_group_IT_number 1
loop_
_space_group_symop_operation_xyz
'x,y,z'
loop_
_atom_site_label
_atom_site_type_symbol
_atom_site_fract_x
_atom_site_fract_y
_atom_site_fract_z
Nd1 Nd 0.523 0.250 0.170
Nd2 Nd 0.023 0.250 0.330
Nd3 Nd 0.977 0.750 0.670
Nd4 Nd 0.477 0.750 0.830
S1 S 0.392 0.750 0.059
S2 S 0.051 0.750 0.173
S3 S 0.785 0.250 0.201
S4 S 0.285 0.250 0.299
S5 S 0.551 0.750 0.327
S6 S 0.892 0.750 0.441
S7 S 0.108 0.250 0.559
S8 S 0.449 0.250 0.673
S9 S 0.715 0.750 0.701
S10 S 0.215 0.750 0.799
S11 S 0.949 0.250 0.827
S12 S 0.608 0.250 0.941
Tl1 Tl 0.840 0.750 0.007
Tl2 Tl 0.340 0.750 0.493
Tl3 Tl 0.660 0.250 0.507
Tl4 Tl 0.160 0.250 0.993
Zn1 Zn 0.253 0.750 0.203
Zn2 Zn 0.753 0.750 0.297
Zn3 Zn 0.247 0.250 0.703
Zn4 Zn 0.747 0.250 0.797
# - Space group: Pnma (62)
# - E: -4.65 eV/atom
# - Offset from the most stable computed form: 0.004 eV per atom
# - Crystal system: orthorhombic
# - Magnetization: 0.0 μB/f.u.


(7)
# LuNiP | OQMD via LeMat-Bulk | PBE-GGA | optimized geometry
data_LuNiP
_chemical_formula_sum 'Lu4 Ni4 P4'
_cell_length_a 3.858
_cell_length_b 3.858
_cell_length_c 14.941
_cell_angle_alpha 90.00
_cell_angle_beta 90.00
_cell_angle_gamma 120.00
_space_group_name_H-M_alt 'P 1'
_space_group_IT_number 1
loop_
_space_group_symop_operation_xyz
'x,y,z'
loop_
_atom_site_label
_atom_site_type_symbol
_atom_site_fract_x
_atom_site_fract_y
_atom_site_fract_z
Lu1 Lu 0.000 0.000 0.000
Lu2 Lu 0.000 0.000 0.250
Lu3 Lu 0.000 0.000 0.500
Lu4 Lu 0.000 0.000 0.750
Ni1 Ni 0.333 0.667 0.129
Ni2 Ni 0.333 0.667 0.371
Ni3 Ni 0.667 0.333 0.629
Ni4 Ni 0.667 0.333 0.871
P1 P 0.667 0.333 0.122
P2 P 0.667 0.333 0.378
P3 P 0.333 0.667 0.622
P4 P 0.333 0.667 0.878
# - Space group: P6_3/mmc (194)
# - E: -6.38 eV/atom
# - Crystal system: hexagonal
# - Magnetization: 0.0 μB/f.u.


(8)
# PrPd | OQMD via LeMat-Bulk | PBE-GGA | optimized geometry
data_PrPd
_chemical_formula_sum 'Pr1 Pd1'
_cell_length_a 3.586
_cell_length_b 3.586
_cell_length_c 4.340
_cell_angle_alpha 90.00
_cell_angle_beta 90.00
_cell_angle_gamma 120.00
_space_group_name_H-M_alt 'P 1'
_space_group_IT_number 1
loop_
_space_group_symop_operation_xyz
'x,y,z'
loop_
_atom_site_label
_atom_site_type_symbol
_atom_site_fract_x
_atom_site_fract_y
_atom_site_fract_z
Pd1 Pd 0.667 0.333 0.750
Pr1 Pr 0.333 0.667 0.250
# - Space group: P-6m2 (187)
# - E: -5.40 eV/atom
# - Crystal system: hexagonal
# - Magnetization: 0.0 μB/f.u.


(9)
# SmCuGeS3 | OQMD via LeMat-Bulk | PBE-GGA | optimized geometry
data_SmCuGeS3
_chemical_formula_sum 'Sm2 Cu2 Ge2 S6'
_cell_length_a 3.817
_cell_length_b 6.483
_cell_length_c 10.493
_cell_angle_alpha 90.00
_cell_angle_beta 90.00
_cell_angle_gamma 72.88
_space_group_name_H-M_alt 'P 1'
_space_group_IT_number 1
loop_
_space_group_symop_operation_xyz
'x,y,z'
loop_
_atom_site_label
_atom_site_type_symbol
_atom_site_fract_x
_atom_site_fract_y
_atom_site_fract_z
Cu1 Cu 0.527 0.946 0.250
Cu2 Cu 0.473 0.054 0.750
Ge1 Ge 0.233 0.534 0.250
Ge2 Ge 0.767 0.466 0.750
S1 S 0.648 0.704 0.082
S2 S 0.912 0.177 0.250
S3 S 0.648 0.704 0.418
S4 S 0.352 0.296 0.582
S5 S 0.088 0.823 0.750
S6 S 0.352 0.296 0.918
Sm1 Sm 0.000 0.000 0.000
Sm2 Sm 0.000 0.000 0.500
# - Space group: Cmcm (63)
# - E: -5.14 eV/atom
# - Crystal system: orthorhombic
# - Magnetization: 0.0 μB/f.u.


(10)
# Dy2HoLu | OQMD via LeMat-Bulk | PBE-GGA | optimized geometry
data_Dy2HoLu
_chemical_formula_sum 'Dy4 Ho2 Lu2'
_cell_length_a 5.559
_cell_length_b 7.161
_cell_length_c 7.161
_cell_angle_alpha 60.00
_cell_angle_beta 90.00
_cell_angle_gamma 90.00
_space_group_name_H-M_alt 'P 1'
_space_group_IT_number 1
loop_
_space_group_symop_operation_xyz
'x,y,z'
loop_
_atom_site_label
_atom_site_type_symbol
_atom_site_fract_x
_atom_site_fract_y
_atom_site_fract_z
Dy1 Dy 0.500 0.166 0.166
Dy2 Dy 0.000 0.833 0.333
Dy3 Dy 0.000 0.833 0.833
Dy4 Dy 0.000 0.333 0.833
Ho1 Ho 0.000 0.333 0.333
Ho2 Ho 0.500 0.666 0.666
Lu1 Lu 0.500 0.667 0.167
Lu2 Lu 0.500 0.167 0.667
# - Space group: Amm2 (38)
# - E: -4.57 eV/atom
# - Crystal system: orthorhombic
# - Magnetization: 0.1 μB/f.u.